Material: PrPaMnO6
Method: DFT, PBE with a Hubbard U
State: optimized geometry

Values from the calculation:
The total energy is -8.352 eV per atom. As for the space group: No. 149. The size of the total moment is 0.33 μB per atom.

Cell and atoms, written as extended XYZ:
```
9
Lattice="-0.412 -1.986 4.374 -0.058 -4.972 -2.263 4.743 2.273 1.478" Properties=species:S:1:pos:R:3 pbc="T T T"
O 4.259 -0.650 4.018
O 4.430 -1.747 1.025
O 1.358 -1.195 0.987
Pr 1.336 -3.550 1.171
O 3.081 -3.238 2.732
Pa 3.142 -0.142 0.231
O 1.178 -0.924 3.604
Mn -0.206 -0.993 2.187
O 3.314 0.945 2.143
```